Record 1
# Sr2MnAuN

Sr2MnAuN after structural relaxation (GGA-PBE, Alexandria via LeMat-Bulk).

Cell lengths 5.4542, 5.4542, 3.7718 Å; angles 90.00, 90.00, 90.00 degrees
Last column: nearest neighbours and their distance in Å.
Fractional coordinates of all 5 atoms:
Sr (0.0000, 0.5000, 0.0000)  2 N 2.73
Sr (0.5000, 0.0000, 0.0000)  2 N 2.73
Mn (0.0000, 0.0000, 0.5000)  2 N 1.89
Au (0.5000, 0.5000, 0.5000)  8 Sr 3.32
N (0.0000, 0.0000, 0.0000)  2 Mn 1.89

Summary:
Final energy   -5.361 eV/atom

=====

Record 2
# Ta2MnAuN

Ta2MnAuN after structural relaxation (GGA-PBE, Alexandria via LeMat-Bulk).

Cell lengths 4.2683, 4.2683, 3.9333 Å; angles 90.00, 90.00, 90.00 degrees
Last column: nearest neighbours and their distance in Å.
Fractional coordinates of all 5 atoms:
N (0.0000, 0.0000, 0.0000)  2 Mn 1.97, 4 Ta 2.13
Mn (0.0000, 0.0000, 0.5000)  2 N 1.97
Au (0.5000, 0.5000, 0.5000)  8 Ta 2.90, 4 Mn 3.02
Ta (0.0000, 0.5000, 0.0000)  2 N 2.13
Ta (0.5000, 0.0000, 0.0000)  2 N 2.13

Summary:
Final energy   -9.288 eV/atom

=====

Record 3
# Mn2TcAuN

Mn2TcAuN after structural relaxation (GGA-PBE, Alexandria via LeMat-Bulk).

Cell lengths 4.0562, 4.0562, 4.0042 Å; angles 90.00, 90.00, 90.00 degrees
Last column: nearest neighbours and their distance in Å.
Fractional coordinates of all 5 atoms:
Mn (0.0000, 0.5000, 0.0000)  2 N 2.03
Mn (0.5000, 0.0000, 0.0000)  2 N 2.03
Au (0.5000, 0.5000, 0.5000)  8 Mn 2.85, 4 Tc 2.87
Tc (0.0000, 0.0000, 0.5000)  2 N 2.00
N (0.0000, 0.0000, 0.0000)  2 Tc 2.00, 4 Mn 2.03

Summary:
Final energy   -8.168 eV/atom

=====

Record 4
# MnTeAuN2

MnTeAuN2 after structural relaxation (GGA-PBE, Alexandria via LeMat-Bulk).

Cell lengths 3.8809, 3.8809, 7.6789 Å; angles 90.00, 90.00, 90.00 degrees
Last column: nearest neighbours and their distance in Å.
Fractional coordinates of all 5 atoms:
Te (0.0000, 0.0000, 0.5000)  4 Mn 2.74
Au (0.0000, 0.0000, 0.0000)  4 N 1.94
Mn (0.5000, 0.5000, 0.5000)  4 Te 2.74
N (0.0000, 0.5000, 0.0000)  2 Au 1.94
N (0.5000, 0.0000, 0.0000)  2 Au 1.94

Summary:
Final energy   -4.767 eV/atom
E above lowest polymorph   0.988 eV/atom

=====

Record 5
# MnTeAuN2

MnTeAuN2 after structural relaxation (GGA-PBE, Alexandria via LeMat-Bulk).

Cell lengths 3.7295, 3.7295, 5.6730 Å; angles 90.00, 90.00, 90.00 degrees
Last column: nearest neighbours and their distance in Å.
Fractional coordinates of all 5 atoms:
Te (0.0000, 0.0000, 0.5000)  4 Au 2.64, 2 Mn 2.84
Au (0.5000, 0.5000, 0.5000)  4 Te 2.64
Mn (0.0000, 0.0000, 0.0000)  4 N 1.86
N (0.0000, 0.5000, 0.0000)  2 Mn 1.86
N (0.5000, 0.0000, 0.0000)  2 Mn 1.86

Summary:
Final energy   -5.755 eV/atom
E above lowest polymorph   0.000 eV/atom

=====

Record 6
# MnW2AuN

MnW2AuN after structural relaxation (GGA-PBE, Alexandria via LeMat-Bulk).

Cell lengths 4.1167, 4.1167, 4.0554 Å; angles 90.00, 90.00, 90.00 degrees
Last column: nearest neighbours and their distance in Å.
Fractional coordinates of all 5 atoms:
Mn (0.0000, 0.0000, 0.5000)  2 N 2.03
Au (0.5000, 0.5000, 0.5000)  8 W 2.89, 4 Mn 2.91
W (0.0000, 0.5000, 0.0000)  2 N 2.06
W (0.5000, 0.0000, 0.0000)  2 N 2.06
N (0.0000, 0.0000, 0.0000)  2 Mn 2.03, 4 W 2.06

Summary:
Final energy   -9.293 eV/atom